Record 1
DFT (PBE-GGA) results for an optimized crystal structure of CaBiOF2.

Structure (POSCAR):
```
CaBiOF2
1.0
4.259 0.000 0.000
0.000 4.259 0.000
0.000 0.000 4.662
Ca Bi O F
1 1 1 2
Direct
0.000 0.000 0.000
0.500 0.500 0.500
0.000 0.000 0.500
0.000 0.500 0.000
0.500 0.000 0.000
```

- Crystal system: tetragonal
- Uncorrected formation energy: -2.06 eV per atom
- Density of states at the Fermi level: 0.510 states/eV per atom
- Spin magnetization: 0.00 μB/atom

Record 2
DFT (PBE-GGA) results for an optimized crystal structure of Ca4BiPbF.

Structure (POSCAR):
```
Ca4BiPbF
1.0
3.394 -8.693 0.000
3.394 8.693 0.000
0.000 0.000 6.773
Ca Bi Pb F
8 2 2 2
Direct
0.000 0.500 0.000
0.000 0.500 0.500
0.066 0.934 0.750
0.426 0.574 0.750
0.500 0.000 0.000
0.500 0.000 0.500
0.574 0.426 0.250
0.934 0.066 0.250
0.385 0.615 0.250
0.615 0.385 0.750
0.118 0.882 0.250
0.882 0.118 0.750
0.258 0.742 0.750
0.742 0.258 0.250
```

- Crystal system: orthorhombic
- Uncorrected formation energy: -1.36 eV per atom
- Density of states at the Fermi level: 0.006 states/eV per atom
- Spin magnetization: 0.00 μB/atom

Record 3
DFT (PBE-GGA) results for an optimized crystal structure of RbCaBiF6.

Structure (POSCAR):
```
RbCaBiF6
1.0
-4.111 4.286 6.049
4.111 -4.286 6.049
4.111 4.286 -6.049
Rb Ca Bi F
2 2 2 12
Direct
0.286 0.036 0.250
0.714 0.964 0.750
0.000 0.000 0.500
0.000 0.500 0.000
0.000 0.500 0.500
0.500 0.500 0.000
0.047 0.407 0.225
0.047 0.822 0.641
0.064 0.814 0.250
0.319 0.178 0.725
0.319 0.593 0.141
0.321 0.571 0.750
0.679 0.429 0.250
0.681 0.407 0.859
0.681 0.822 0.275
0.936 0.186 0.750
0.953 0.178 0.359
0.953 0.593 0.775
```

- Crystal system: orthorhombic
- Uncorrected formation energy: -2.98 eV per atom
- Density of states at the Fermi level: 0.000 states/eV per atom
- Spin magnetization: 0.00 μB/atom

Record 4
DFT (PBE-GGA) results for an optimized crystal structure of Rb2CaBiF6.

Structure (POSCAR):
```
Rb2CaBiF6
1.0
-3.373 3.373 4.574
3.373 -3.373 4.574
3.373 3.373 -4.574
Rb Ca Bi F
2 1 1 6
Direct
0.250 0.750 0.500
0.750 0.250 0.500
0.000 0.000 0.000
0.500 0.500 0.000
0.236 0.236 0.472
0.236 0.764 0.000
0.248 0.248 0.000
0.752 0.752 0.000
0.764 0.236 0.000
0.764 0.764 0.528
```

- Crystal system: tetragonal
- Uncorrected formation energy: -2.73 eV per atom
- Density of states at the Fermi level: 0.666 states/eV per atom
- Spin magnetization: 0.10 μB/atom

Record 5
DFT (PBE-GGA) results for an optimized crystal structure of Ca2BiRuF.

Structure (POSCAR):
```
Ca2BiRuF
1.0
5.697 0.000 0.000
0.000 5.697 0.000
0.000 0.000 4.022
Ca Bi Ru F
2 1 1 1
Direct
0.000 0.500 0.000
0.500 0.000 0.000
0.000 0.000 0.500
0.500 0.500 0.000
0.500 0.500 0.500
```

- Crystal system: tetragonal
- Uncorrected formation energy: -0.52 eV per atom
- Density of states at the Fermi level: 0.342 states/eV per atom
- Spin magnetization: 0.27 μB/atom

Record 6
DFT (PBE-GGA) results for an optimized crystal structure of CaBiS2F.

Structure (POSCAR):
```
CaBiS2F
1.0
3.961 0.000 0.000
0.000 3.961 0.000
0.000 0.000 14.051
Ca Bi S F
2 2 4 2
Direct
0.250 0.250 0.095
0.750 0.750 0.905
0.250 0.250 0.638
0.750 0.750 0.362
0.250 0.250 0.393
0.250 0.250 0.818
0.750 0.750 0.182
0.750 0.750 0.607
0.250 0.750 0.000
0.750 0.250 0.000
```

- Crystal system: tetragonal
- Uncorrected formation energy: -1.76 eV per atom
- Spin magnetization: 0.00 μB/atom

Record 7
DFT (PBE-GGA) results for an optimized crystal structure of Sr4Ca2Bi3F2.

Structure (POSCAR):
```
Sr4Ca2Bi3F2
1.0
-2.578 2.578 12.998
2.578 -2.578 12.998
2.578 2.578 -12.998
Sr Ca Bi F
4 2 3 2
Direct
0.084 0.584 0.500
0.416 0.916 0.500
0.584 0.084 0.500
0.916 0.416 0.500
0.200 0.200 0.000
0.800 0.800 0.000
0.322 0.322 0.000
0.500 0.500 0.000
0.678 0.678 0.000
0.106 0.106 0.000
0.894 0.894 0.000
```

- Crystal system: tetragonal
- Uncorrected formation energy: -1.58 eV per atom
- Density of states at the Fermi level: 0.270 states/eV per atom
- Spin magnetization: 0.00 μB/atom

Record 8
DFT (PBE-GGA) results for an optimized crystal structure of Sr2CaBiF.

Structure (POSCAR):
```
Sr2CaBiF
1.0
5.819 0.000 0.000
0.000 5.819 0.000
0.000 0.000 4.608
Sr Ca Bi F
2 1 1 1
Direct
0.000 0.500 0.000
0.500 0.000 0.000
0.000 0.000 0.500
0.500 0.500 0.500
0.000 0.000 0.000
```

- Crystal system: tetragonal
- Uncorrected formation energy: -1.33 eV per atom
- Density of states at the Fermi level: 0.617 states/eV per atom
- Spin magnetization: 0.00 μB/atom

Record 9
DFT (PBE-GGA) results for an optimized crystal structure of CaBiTe2F.

Structure (POSCAR):
```
CaBiTe2F
1.0
5.814 0.000 0.000
0.000 5.814 0.000
0.000 0.000 6.280
Ca Bi Te F
1 1 2 1
Direct
0.000 0.000 0.000
0.000 0.000 0.500
0.000 0.500 0.500
0.500 0.000 0.500
0.500 0.500 0.000
```

- Crystal system: tetragonal
- Uncorrected formation energy: -0.17 eV per atom
- Density of states at the Fermi level: 1.293 states/eV per atom
- Spin magnetization: 0.00 μB/atom

Record 10
DFT (PBE-GGA) results for an optimized crystal structure of CaTlBi2F.

Structure (POSCAR):
```
CaTlBi2F
1.0
6.359 0.000 0.000
0.000 6.359 0.000
0.000 0.000 4.102
Ca Tl Bi F
1 1 2 1
Direct
0.000 0.000 0.000
0.500 0.500 0.500
0.000 0.500 0.000
0.500 0.000 0.000
0.000 0.000 0.500
```

- Crystal system: tetragonal
- Uncorrected formation energy: -0.83 eV per atom
- Density of states at the Fermi level: 0.877 states/eV per atom
- Spin magnetization: 0.00 μB/atom

Record 11
DFT (PBE-GGA) results for an optimized crystal structure of CaTlBiF6.

Structure (POSCAR):
```
CaTlBiF6
1.0
6.289 0.000 0.000
-3.144 5.446 0.000
0.000 0.000 11.043
Ca Tl Bi F
2 2 2 12
Direct
0.333 0.667 0.250
0.667 0.333 0.750
0.000 0.000 0.000
0.000 0.000 0.500
0.333 0.667 0.750
0.667 0.333 0.250
0.000 0.375 0.145
0.000 0.375 0.645
0.000 0.625 0.355
0.000 0.625 0.855
0.375 0.000 0.145
0.375 0.000 0.645
0.375 0.375 0.355
0.375 0.375 0.855
0.625 0.000 0.355
0.625 0.000 0.855
0.625 0.625 0.145
0.625 0.625 0.645
```

- Crystal system: trigonal
- Uncorrected formation energy: -2.77 eV per atom
- Density of states at the Fermi level: 0.000 states/eV per atom
- Spin magnetization: 0.00 μB/atom